Below is a relaxed BaSr2Fe crystal, with properties calculated at the PBE level.

Results
ΔH_f (0 K), eV/atom: 0.432
DOS(E_F), states/eV/cell: 5.8
E above lowest polymorph, kcal/mol of atoms: 0.13
E, eV per atom: -3.01
Crystal system: tetragonal
Magnetization, μB/atom: 0.60

a = 4.002 Å, b = 4.002 Å, c = 10.328 Å
α = 90.00°, β = 90.00°, γ = 90.00°
Fractional positions:
Ba 0.000 0.000 0.000
Sr 0.500 0.500 0.327
Sr 0.500 0.500 0.673
Fe 0.000 0.000 0.500